First-principles (PBE) data for a relaxed structure of K2URh2S6, as listed in Alexandria via LeMat-Bulk.

a b c (Å): 6.229 6.229 7.897
angles (deg): 96.99 96.99 120.85
Sites, in units of the cell vectors:
K1 0.161 0.839 0.000
K2 0.839 0.161 0.000
U1 0.000 0.000 0.500
Rh1 0.334 0.666 0.500
Rh2 0.666 0.334 0.500
S1 0.057 0.418 0.684
S2 0.305 0.305 0.314
S3 0.418 0.057 0.684
S4 0.582 0.943 0.316
S5 0.695 0.695 0.686
S6 0.943 0.582 0.316

Output
Uncorrected energy in eV/atom: -5.81
Total magnetization in μB per cell: 2.013
Fermi-level density of states in states/eV per cell: 4.898
Crystal system: monoclinic